1.
{
  "formula": "Ba2Mn3Sb2O2",
  "functional": "GGA-PBEsol",
  "state": "optimized geometry",
  "lattice_angstrom": [[-2.028, 2.028, 10.711], [2.028, -2.028, 10.711], [2.028, 2.028, -10.711]],
  "species": ["Ba", "Ba", "Mn", "Mn", "Mn", "Sb", "Sb", "O", "O"],
  "frac_coords": [[0.086, 0.086, 0.000], [0.914, 0.914, 0.000], [0.250, 0.750, 0.500], [0.500, 0.500, 0.000], [0.750, 0.250, 0.500], [0.324, 0.324, 0.000], [0.676, 0.676, 0.000], [0.000, 0.500, 0.500], [0.500, 0.000, 0.500]],
  "vol_a3_per_atom": 19.6,
  "total_magnetization_mub_per_atom": 0.913,
  "formation_energy_uncorrected_mev_per_atom": -1017,
  "space_group": "I4/mmm (139)",
  "dft_energy_ev_per_atom": -6.928,
  "density_g_cm3": 6.7
}

=====

2.
{
  "formula": "K2Li2Fe",
  "functional": "GGA-PBEsol",
  "state": "optimized geometry",
  "lattice_angstrom": [[3.880, 0.000, 0.000], [0.000, 3.880, 0.000], [0.000, 0.000, 21.929]],
  "species": ["K", "K", "K", "K", "Li", "Li", "Li", "Li", "Fe", "Fe"],
  "frac_coords": [[0.000, 0.000, 0.099], [0.000, 0.000, 0.901], [0.500, 0.500, 0.401], [0.500, 0.500, 0.599], [0.000, 0.500, 0.250], [0.000, 0.500, 0.750], [0.500, 0.000, 0.250], [0.500, 0.000, 0.750], [0.000, 0.000, 0.500], [0.500, 0.500, 0.000]],
  "vol_a3_per_atom": 33.0,
  "total_magnetization_mub_per_atom": 0.607,
  "delta_e_f_ev_per_atom": 0.786,
  "space_group": "I4/mmm (139)",
  "dft_energy_ev_per_atom": -2.247,
  "density_g_cm3": 1.5
}

=====

3.
{
  "formula": "GdMgHg2",
  "functional": "GGA-PBEsol",
  "state": "optimized geometry",
  "lattice_angstrom": [[7.111, 0.000, 0.000], [0.000, 7.111, 0.000], [0.000, 0.000, 7.111]],
  "species": ["Gd", "Gd", "Gd", "Gd", "Mg", "Mg", "Mg", "Mg", "Hg", "Hg", "Hg", "Hg", "Hg", "Hg", "Hg", "Hg"],
  "frac_coords": [[0.000, 0.000, 0.000], [0.000, 0.500, 0.500], [0.500, 0.000, 0.500], [0.500, 0.500, 0.000], [0.000, 0.000, 0.500], [0.000, 0.500, 0.000], [0.500, 0.000, 0.000], [0.500, 0.500, 0.500], [0.250, 0.250, 0.250], [0.250, 0.250, 0.750], [0.250, 0.750, 0.250], [0.250, 0.750, 0.750], [0.750, 0.250, 0.250], [0.750, 0.250, 0.750], [0.750, 0.750, 0.250], [0.750, 0.750, 0.750]],
  "vol_a3_per_atom": 22.5,
  "total_magnetization_mub_per_atom": 1.753,
  "delta_e_f_ev_per_atom": -0.558,
  "space_group": "Fm-3m (225)",
  "dft_energy_ev_per_atom": -4.883,
  "density_g_cm3": 10.8
}

=====

4.
{
  "formula": "SrTi4P6O24",
  "functional": "GGA-PBEsol",
  "state": "optimized geometry",
  "lattice_angstrom": [[4.188, 2.418, 7.536], [-4.188, 2.418, 7.536], [0.000, -4.836, 7.536]],
  "species": ["Sr", "Ti", "Ti", "Ti", "Ti", "P", "P", "P", "P", "P", "P", "O", "O", "O", "O", "O", "O", "O", "O", "O", "O", "O", "O", "O", "O", "O", "O", "O", "O", "O", "O", "O", "O", "O", "O"],
  "frac_coords": [[0.000, 0.000, 0.000], [0.149, 0.149, 0.149], [0.356, 0.356, 0.356], [0.644, 0.644, 0.644], [0.851, 0.851, 0.851], [0.030, 0.752, 0.463], [0.248, 0.537, 0.970], [0.463, 0.030, 0.752], [0.537, 0.970, 0.248], [0.752, 0.463, 0.030], [0.970, 0.248, 0.537], [0.000, 0.208, 0.375], [0.000, 0.792, 0.625], [0.095, 0.734, 0.900], [0.100, 0.905, 0.266], [0.160, 0.231, 0.520], [0.186, 0.550, 0.469], [0.208, 0.375, 0.000], [0.231, 0.520, 0.160], [0.266, 0.100, 0.905], [0.375, 0.000, 0.208], [0.450, 0.531, 0.814], [0.469, 0.186, 0.550], [0.480, 0.840, 0.769], [0.520, 0.160, 0.231], [0.531, 0.814, 0.450], [0.550, 0.469, 0.186], [0.625, 0.000, 0.792], [0.734, 0.900, 0.095], [0.769, 0.480, 0.840], [0.792, 0.625, 0.000], [0.814, 0.450, 0.531], [0.840, 0.769, 0.480], [0.900, 0.095, 0.734], [0.905, 0.266, 0.100]],
  "vol_a3_per_atom": 13.1,
  "total_magnetization_mub_per_atom": 0.000,
  "formation_energy_uncorrected_mev_per_atom": -2649,
  "space_group": "R-3 (148)",
  "dft_energy_ev_per_atom": -8.245,
  "density_g_cm3": 3.1
}

=====

5.
{
  "formula": "GaBiNO2",
  "functional": "GGA-PBEsol",
  "state": "optimized geometry",
  "lattice_angstrom": [[3.854, 0.000, 0.000], [0.000, 3.854, 0.000], [0.000, 0.000, 3.927]],
  "species": ["Ga", "Bi", "N", "O", "O"],
  "frac_coords": [[0.000, 0.000, 0.000], [0.500, 0.500, 0.500], [0.000, 0.000, 0.500], [0.000, 0.500, 0.000], [0.500, 0.000, 0.000]],
  "vol_a3_per_atom": 11.7,
  "total_magnetization_mub_per_atom": 0.142,
  "formation_energy_uncorrected_mev_per_atom": -497,
  "space_group": "P4/mmm (123)",
  "dft_energy_ev_per_atom": -5.827,
  "density_g_cm3": 9.2
}

=====

6.
{
  "formula": "LiMgSnAu",
  "functional": "GGA-PBEsol",
  "state": "optimized geometry",
  "lattice_angstrom": [[6.593, 0.000, 0.000], [0.000, 6.593, 0.000], [0.000, 0.000, 6.593]],
  "species": ["Li", "Li", "Li", "Li", "Mg", "Mg", "Mg", "Mg", "Sn", "Sn", "Sn", "Sn", "Au", "Au", "Au", "Au"],
  "frac_coords": [[0.000, 0.000, 0.000], [0.000, 0.500, 0.500], [0.500, 0.000, 0.500], [0.500, 0.500, 0.000], [0.250, 0.250, 0.750], [0.250, 0.750, 0.250], [0.750, 0.250, 0.250], [0.750, 0.750, 0.750], [0.250, 0.250, 0.250], [0.250, 0.750, 0.750], [0.750, 0.250, 0.750], [0.750, 0.750, 0.250], [0.000, 0.000, 0.500], [0.000, 0.500, 0.000], [0.500, 0.000, 0.000], [0.500, 0.500, 0.500]],
  "vol_a3_per_atom": 17.9,
  "total_magnetization_mub_per_atom": 0.000,
  "delta_e_f_ev_per_atom": -0.442,
  "space_group": "F-43m (216)",
  "dft_energy_ev_per_atom": -3.409,
  "density_g_cm3": 8.0
}